Entry from Alexandria via LeMat-Bulk: an optimized crystal structure of MgSi2Ru (PBE).

Properties
For the formation energy from raw total energies, the calculation gives -0.254 eV per atom. The density is 4.9 g/cm³. The calculation puts the total energy at -5.68 eV/atom. The crystal system is monoclinic.

The structure in POSCAR format:
```
MgSi2Ru
1.0
4.0723 -1.5100 0.0000
4.0723 1.5100 0.0000
-0.8332 0.0000 4.9526
Mg Si Ru
1 2 1
direct
0.0000 0.0000 0.0000
0.2357 0.2357 0.6977
0.7643 0.7643 0.3023
0.5000 0.5000 0.5000
```